Er6GeAs3Se2, relaxed, DFT PBE-GGA; SG = C2/m (12); crystal system = monoclinic; total DFT energy (no corrections) = -71.5 eV/cell; ΔE_f (raw) = -149.3 kJ/mol of atoms
1.0
7.067 0.004 0.001
-3.528 6.124 0.001
-1.179 -2.042 6.658
Er Se As Ge
6 2 3 1
Direct
0.589 0.915 0.745
0.411 0.085 0.255
0.240 0.240 0.745
0.085 0.411 0.255
0.915 0.589 0.745
0.760 0.760 0.255
0.334 0.666 0.000
0.666 0.334 0.000
0.170 0.830 0.500
0.830 0.170 0.500
0.500 0.500 0.500
0.000 0.000 0.000

---

SrAc2Cu, relaxed, DFT PBE-GGA; SG = R-3m (166); crystal system = trigonal; total DFT energy (no corrections) = -13.8 eV/cell; energy above the lowest structure with this stoichiometry = 0.038 eV per atom
1.0
-2.720 -1.109 2.914
-1.753 -3.745 -0.124
6.633 -5.621 6.988
Sr Ac Cu
1 2 1
Direct
0.500 0.500 0.500
0.273 0.273 0.180
0.727 0.727 0.820
0.000 0.000 0.000

---

NaAs3P, relaxed, DFT PBE-GGA; SG = Pm-3m (221); crystal system = cubic; total DFT energy (no corrections) = -13.5 eV/cell; energy above the lowest structure with this stoichiometry = 1.035 eV per atom
1.0
4.943 0.000 0.000
0.000 4.943 0.000
0.000 0.000 4.943
As Na P
3 1 1
Direct
0.000 0.000 0.500
0.000 0.500 0.000
0.500 0.000 0.000
0.000 0.000 0.000
0.500 0.500 0.500

---

CeNdErLu, relaxed, DFT PBE-GGA; SG = F-43m (216); crystal system = cubic; total DFT energy (no corrections) = -19.2 eV/cell
1.0
-4.747 -1.398 -2.717
0.092 -0.873 -5.576
-0.645 -5.219 -2.051
Lu Nd Ce Er
1 1 1 1
Direct
0.500 0.500 0.500
0.250 0.250 0.250
0.750 0.750 0.750
0.000 0.000 0.000

---

La3PrY2Te6, relaxed, DFT PBE-GGA; SG = C2/m (12); crystal system = monoclinic; total DFT energy (no corrections) = -69.1 eV/cell; ΔE_f (raw) = -142.9 kJ/mol of atoms
1.0
7.794 -0.015 -0.003
-3.908 6.743 -0.003
-1.299 -2.249 7.367
Te Pr La Y
6 1 3 2
Direct
0.423 0.080 0.241
0.577 0.920 0.759
0.920 0.577 0.759
0.735 0.735 0.234
0.265 0.265 0.766
0.080 0.423 0.241
0.000 0.000 0.000
0.161 0.839 0.500
0.839 0.161 0.500
0.500 0.500 0.500
0.333 0.667 0.000
0.667 0.333 0.000

---

Dy4Al3Hg, relaxed, DFT PBE-GGA; SG = P4/mmm (123); crystal system = tetragonal; total DFT energy (no corrections) = -33.3 eV/cell; energy above the lowest structure with this stoichiometry = 0.000 eV per atom
1.0
3.585 0.000 0.000
0.000 3.585 0.000
0.000 0.000 14.886
Dy Al Hg
4 3 1
Direct
0.000 0.000 0.621
0.000 0.000 0.379
0.000 0.000 0.135
0.000 0.000 0.865
0.500 0.500 0.744
0.500 0.500 0.256
0.500 0.500 0.500
0.500 0.500 0.000

---

ZnNi2Sb2, relaxed, DFT PBE-GGA; SG = P4/mbm (127); crystal system = tetragonal; total DFT energy (no corrections) = -40.7 eV/cell; energy above the lowest structure with this stoichiometry = 0.139 eV per atom; ΔE_f (raw) = 14.6 kJ/mol of atoms
1.0
-7.581 -0.797 -0.811
1.135 -5.607 -5.102
-0.025 -2.079 2.279
Zn Sb Ni
2 4 4
Direct
0.500 0.500 0.000
0.000 0.000 0.000
0.831 0.669 0.000
0.331 0.831 0.000
0.169 0.331 0.000
0.669 0.169 0.000
0.618 0.882 0.500
0.118 0.618 0.500
0.382 0.118 0.500
0.882 0.382 0.500

---

Number 1: V 288.3 Å³ per cell. Number 2: V 161.5 Å³ per cell. Number 3: V 120.7 Å³ per cell. Number 4: V 127.2 Å³ per cell. Number 5: V 386.6 Å³ per cell. Number 6: V 191.4 Å³ per cell. Number 7: V 181.3 Å³ per cell.